Crystalline FeSb2WI at its relaxed geometry. Source: the Alexandria database, functional PBE.

Values from the calculation:
Raw formation energy ... 1.242 eV/atom
Density of states at the Fermi level ... 7.17 states/eV/cell
Offset from the most stable computed form ... 0.00 eV per formula unit
Total DFT energy (no corrections) ... -5.00 eV per atom

Unit cell a=5.177 b=5.177 c=5.857 alpha=90.00 beta=90.00 gamma=90.00
Space group P4/mmm (No. 123)
Inequivalent atoms, fractional coordinates:
Fe  0.000  0.000  0.000 [1 per cell]
Sb  0.000  0.500  0.500 [2 per cell]
W  0.500  0.500  0.500 [1 per cell]
I  0.500  0.500  0.000 [1 per cell]

=====

Crystalline FeSb2WI at its relaxed geometry. Source: the Alexandria database, functional PBE.

Values from the calculation:
Raw formation energy ... 1.383 eV/atom
Density of states at the Fermi level ... 4.72 states/eV/cell
Offset from the most stable computed form ... 0.70 eV per formula unit
Total DFT energy (no corrections) ... -4.86 eV per atom

Unit cell a=4.809 b=4.809 c=5.371 alpha=90.00 beta=90.00 gamma=90.00
Space group P4/mmm (No. 123)
Inequivalent atoms, fractional coordinates:
Fe  0.000  0.000  0.000 [1 per cell]
Sb  0.000  0.500  0.000 [2 per cell]
W  0.500  0.500  0.500 [1 per cell]
I  0.000  0.000  0.500 [1 per cell]